[1]
! Zn2FeNi4 (PBE-GGA, relaxed); values from VASP
! total DFT energy (no corrections): -34.015 eV per cell
! ΔH_f (0 K): 17 meV/atom
! total magnetic moment: 4.4 μB per cell
! DOS at the Fermi energy: 3.68 states/eV/cell
&SYSTEM
  ibrav = 0, nat = 7, ntyp = 3
/
ATOMIC_SPECIES
Ni 58.69 Ni.upf
Zn 65.41 Zn.upf
Fe 55.84 Fe.upf
CELL_PARAMETERS angstrom
-3.268 1.698 -0.418
0.746 0.244 -4.844
-2.113 -4.314 -1.002
ATOMIC_POSITIONS crystal
Ni 0.500 0.000 0.500
Ni 0.500 0.500 0.000
Ni 0.000 0.289 0.289
Ni 0.000 0.711 0.711
Zn 0.000 0.199 0.801
Zn 0.000 0.801 0.199
Fe 0.500 0.500 0.500

***

[2]
! Zn4FeNi (PBE-GGA, relaxed); values from VASP
! total DFT energy (no corrections): -18.276 eV per cell
! ΔH_f (0 K): 177 meV/atom
! total magnetic moment: 2.9 μB per cell
! DOS at the Fermi energy: 8.53 states/eV/cell
&SYSTEM
  ibrav = 0, nat = 6, ntyp = 3
/
ATOMIC_SPECIES
Zn 65.41 Zn.upf
Fe 55.84 Fe.upf
Ni 58.69 Ni.upf
CELL_PARAMETERS angstrom
-2.275 -2.992 3.106
-3.770 1.625 2.630
-4.513 -1.562 -0.984
ATOMIC_POSITIONS crystal
Zn 0.375 0.375 0.875
Zn 0.375 0.875 0.375
Zn 0.875 0.375 0.375
Zn 0.375 0.375 0.375
Fe 0.750 0.750 0.750
Ni 0.000 0.000 0.000

***

- What is the ΔH_f (0 K) in the first record?
  17 meV/atom

***

- The highest ΔH_f (0 K) belongs to which entry?
  Zn4FeNi

***

- What is the total DFT energy (no corrections) in the first record?
  -34.015 eV per cell

***

- ΔH_f (0 K) of number 1 (Zn2FeNi4)?
  17 meV/atom